[1]
A relaxed structure of CuBMoPd, computed with GGA-PBE.

Values from the calculation:
- V: 12.7 A^3/atom
- VASP energy: -6.0781 eV per atom
- Mass density: 9023 kg/m3
- ΔE to the lowest computed polymorph: 0 meV per atom

a b c (Å): 5.8839 5.8839 5.8839
angles (deg): 90.00 90.00 90.00
Space group F-43m (No. 216)
Asymmetric unit:
Cu  0.0000  0.0000  0.0000
B  0.2500  0.2500  0.7500
Mo  0.0000  0.0000  0.5000
Pd  0.2500  0.2500  0.2500

=====

[2]
A relaxed structure of Cs2PdBr3Cl, computed with GGA-PBE.

Values from the calculation:
- V: 42.3 A^3/atom
- VASP energy: -3.2245 eV per atom
- Mass density: 3631 kg/m3

a b c (Å): 4.9036 10.7566 11.2265
angles (deg): 90.00 90.00 90.00
Space group Amm2 (No. 38)
Asymmetric unit:
Cs  0.0000  0.2398  0.0000
Pd  0.5000  0.0000  0.7495
Br  0.5000  0.0000  0.5298
Br  0.5000  0.2304  0.7497
Cl  0.5000  0.0000  0.9593

=====

[3]
A relaxed structure of NaPr5Se8, computed with GGA-PBE.

Values from the calculation:
- V: 26.1 A^3/atom
- VASP energy: -5.6343 eV per atom
- Mass density: 6174 kg/m3

a b c (Å): 8.9996 8.9996 9.0273
angles (deg): 90.00 90.00 90.00
Space group I-4 (No. 82)
Asymmetric unit:
Na  0.0000  0.0000  0.0000
Pr  0.0000  0.5000  0.7500
Pr  0.1285  0.7469  0.3720
Se  0.0752  0.8211  0.6909
Se  0.0757  0.6739  0.0477

=====

[4]
A relaxed structure of DyErGa5, computed with GGA-PBE.

Values from the calculation:
- V: 21.0 A^3/atom
- VASP energy: -3.8973 eV per atom
- Mass density: 7656 kg/m3

a b c (Å): 4.2105 4.2105 8.2992
angles (deg): 90.00 90.00 90.00
Space group P4/mmm (No. 123)
Asymmetric unit:
Dy  0.0000  0.0000  0.0000
Er  0.0000  0.0000  0.5000
Ga  0.0000  0.5000  0.2553
Ga  0.5000  0.5000  0.0000

=====

Q: V of number 3 (NaPr5Se8)?
A: 26.1 A^3/atom

=====

Q: What is the V in the fourth record?
A: 21.0 A^3/atom

=====

Q: Among the records above, which one has the lowest mass density?
A: Cs2PdBr3Cl

=====

Repeat the fourth record exactly.
A relaxed structure of DyErGa5, computed with GGA-PBE.

Values from the calculation:
- V: 21.0 A^3/atom
- VASP energy: -3.8973 eV per atom
- Mass density: 7656 kg/m3

a b c (Å): 4.2105 4.2105 8.2992
angles (deg): 90.00 90.00 90.00
Space group P4/mmm (No. 123)
Asymmetric unit:
Dy  0.0000  0.0000  0.0000
Er  0.0000  0.0000  0.5000
Ga  0.0000  0.5000  0.2553
Ga  0.5000  0.5000  0.0000